1.
Sr2CaMo | PBE | optimized geometry

```
data_Sr2CaMo
_space_group_name_H-M_alt 'P 1'
_space_group_IT_number 1
_cell_length_a 12.015
_cell_length_b 12.015
_cell_length_c 12.015
_cell_angle_alpha 17.92
_cell_angle_beta 17.92
_cell_angle_gamma 17.92
loop_
_space_group_symop_operation_xyz
'x,y,z'
loop_
_atom_site_label
_atom_site_type_symbol
_atom_site_fract_x
_atom_site_fract_y
_atom_site_fract_z
Ca1 Ca 0.250 0.250 0.250
Sr1 Sr 0.483 0.483 0.483
Sr2 Sr 0.017 0.017 0.017
Mo1 Mo 0.750 0.750 0.750
```

Properties
Energy of formation in meV/atom: 832
Relative energy among the computed polymorphs in kJ per mole of atoms: 14.26
Mass density in Mg/m³: 3.60
VASP energy in eV/atom: -3.217



2.
Sr2CaMo | PBE | optimized geometry

```
data_Sr2CaMo
_space_group_name_H-M_alt 'P 1'
_space_group_IT_number 1
_cell_length_a 5.822
_cell_length_b 5.822
_cell_length_c 5.822
_cell_angle_alpha 60.00
_cell_angle_beta 60.00
_cell_angle_gamma 60.00
loop_
_space_group_symop_operation_xyz
'x,y,z'
loop_
_atom_site_label
_atom_site_type_symbol
_atom_site_fract_x
_atom_site_fract_y
_atom_site_fract_z
Mo1 Mo 0.500 0.500 0.500
Sr1 Sr 0.750 0.750 0.750
Sr2 Sr 0.250 0.250 0.250
Ca1 Ca 0.000 0.000 0.000
```

Properties
Energy of formation in meV/atom: 784
Relative energy among the computed polymorphs in kJ per mole of atoms: 9.60
Mass density in Mg/m³: 3.70
VASP energy in eV/atom: -3.265



3.
Sr2CaMo | PBE | optimized geometry

```
data_Sr2CaMo
_space_group_name_H-M_alt 'P 1'
_space_group_IT_number 1
_cell_length_a 7.151
_cell_length_b 7.151
_cell_length_c 5.992
_cell_angle_alpha 65.22
_cell_angle_beta 65.22
_cell_angle_gamma 31.95
loop_
_space_group_symop_operation_xyz
'x,y,z'
loop_
_atom_site_label
_atom_site_type_symbol
_atom_site_fract_x
_atom_site_fract_y
_atom_site_fract_z
Sr1 Sr 0.547 0.547 0.453
Sr2 Sr 0.953 0.953 0.047
Mo1 Mo 0.250 0.250 0.250
Ca1 Ca 0.750 0.750 0.750
```

Properties
Energy of formation in meV/atom: 777
Relative energy among the computed polymorphs in kJ per mole of atoms: 8.91
Mass density in Mg/m³: 3.54
VASP energy in eV/atom: -3.272



4.
SrCaMo3 | PBE | optimized geometry

```
data_SrCaMo3
_space_group_name_H-M_alt 'P 1'
_space_group_IT_number 1
_cell_length_a 4.914
_cell_length_b 4.914
_cell_length_c 4.914
_cell_angle_alpha 90.00
_cell_angle_beta 90.00
_cell_angle_gamma 90.00
loop_
_space_group_symop_operation_xyz
'x,y,z'
loop_
_atom_site_label
_atom_site_type_symbol
_atom_site_fract_x
_atom_site_fract_y
_atom_site_fract_z
Mo1 Mo 0.500 0.000 0.000
Mo2 Mo 0.000 0.500 0.000
Mo3 Mo 0.000 0.000 0.500
Ca1 Ca 0.000 0.000 0.000
Sr1 Sr 0.500 0.500 0.500
```

Properties
Energy of formation in meV/atom: 2376
Relative energy among the computed polymorphs in kJ per mole of atoms: 0.00
Mass density in Mg/m³: 5.81
VASP energy in eV/atom: -4.859



5.
Sr2CaMo | PBE | optimized geometry

```
data_Sr2CaMo
_space_group_name_H-M_alt 'P 1'
_space_group_IT_number 1
_cell_length_a 7.171
_cell_length_b 7.171
_cell_length_c 7.171
_cell_angle_alpha 148.39
_cell_angle_beta 130.00
_cell_angle_gamma 60.36
loop_
_space_group_symop_operation_xyz
'x,y,z'
loop_
_atom_site_label
_atom_site_type_symbol
_atom_site_fract_x
_atom_site_fract_y
_atom_site_fract_z
Ca1 Ca 0.449 0.449 0.000
Sr1 Sr 0.748 0.248 0.500
Sr2 Sr 0.046 0.046 0.000
Mo1 Mo 0.257 0.757 0.500
```

Properties
Energy of formation in meV/atom: 727
Relative energy among the computed polymorphs in kJ per mole of atoms: 4.10
Mass density in Mg/m³: 3.52
VASP energy in eV/atom: -3.322



6.
SrCa3Mo | PBE | optimized geometry

```
data_SrCa3Mo
_space_group_name_H-M_alt 'P 1'
_space_group_IT_number 1
_cell_length_a 5.549
_cell_length_b 5.549
_cell_length_c 5.549
_cell_angle_alpha 90.00
_cell_angle_beta 90.00
_cell_angle_gamma 90.00
loop_
_space_group_symop_operation_xyz
'x,y,z'
loop_
_atom_site_label
_atom_site_type_symbol
_atom_site_fract_x
_atom_site_fract_y
_atom_site_fract_z
Mo1 Mo 0.500 0.500 0.500
Ca1 Ca 0.500 0.000 0.000
Ca2 Ca 0.000 0.500 0.000
Ca3 Ca 0.000 0.000 0.500
Sr1 Sr 0.000 0.000 0.000
```

Properties
Energy of formation in meV/atom: 1994
Relative energy among the computed polymorphs in kJ per mole of atoms: 136.10
Mass density in Mg/m³: 2.95
VASP energy in eV/atom: -1.709



| no. | spin magnetization (μB/f.u.) |
| --- | --- |
| 1 | 1.7 |
| 2 | 2.6 |
| 3 | 2.6 |
| 4 | 0.0 |
| 5 | 2.8 |
| 6 | 0.0 |